# 1
Here is crystalline Ba2CaZnO at its relaxed geometry from the Alexandria database. Energies are from PBE.

Results
Uncorrected energy in eV/cell: -17.49

a b c (Å): 5.7363 5.7363 4.6091
angles (deg): 90.00 90.00 90.00
Last column: nearest neighbours and their distance in Å.
Fractional coordinates of all 5 atoms:
Ba (0.5000, 0.0000, 0.0000)  2 O 2.87
Ba (0.0000, 0.5000, 0.0000)  2 O 2.87
Ca (0.0000, 0.0000, 0.5000)  2 O 2.30
Zn (0.5000, 0.5000, 0.5000)  8 Ba 3.68, 4 Ca 4.06
O (0.0000, 0.0000, 0.0000)  2 Ca 2.30



# 2
Here is crystalline Ba3CaZn2O6 at its relaxed geometry from the Alexandria database. Energies are from PBE.

Results
Uncorrected energy in eV/cell: -64.81

a b c (Å): 6.2494 6.2494 6.9509
angles (deg): 90.00 90.00 120.00
Last column: nearest neighbours and their distance in Å.
Fractional coordinates of all 12 atoms:
Zn (0.6667, 0.3333, 0.7859)  3 O 1.88
Zn (0.3333, 0.6667, 0.2141)  3 O 1.88
Ba (0.6667, 0.3333, 0.3499)  1 Zn 3.03, 9 O 3.08-3.15
Ba (0.0000, 0.0000, 0.0000)  6 O 2.71
Ba (0.3333, 0.6667, 0.6501)  1 Zn 3.03, 9 O 3.08-3.15
O (0.8333, 0.1667, 0.7092)  1 Zn 1.88
O (0.1667, 0.3334, 0.2908)  1 Zn 1.88
O (0.1667, 0.8333, 0.2908)  1 Zn 1.88
O (0.3334, 0.1667, 0.7092)  1 Zn 1.88
O (0.8333, 0.6666, 0.7092)  1 Zn 1.88
O (0.6666, 0.8333, 0.2908)  1 Zn 1.88
Ca (0.0000, 0.0000, 0.5000)  6 O 2.32



Number 1: formation energy without anion corrections -1083 meV/atom, ρ 4.34 g cm⁻³. Number 2: formation energy without anion corrections -2062 meV/atom, ρ 4.80 g cm⁻³.